Run P
Entry from the Alexandria database: a relaxed structure of FeGe3O (PBE+U).

Lattice parameters (Å, degrees): 4.4725 4.4725 4.4725 90.00 90.00 90.00
Closest atoms and distances in Å follow each position.
Fractional positions:
Ge1 0.5000 0.0000 0.0000  2 Fe 2.24
Ge2 0.0000 0.5000 0.0000  2 Fe 2.24
Fe1 0.0000 0.0000 0.0000  6 Ge 2.24
Ge3 0.0000 0.0000 0.5000  2 Fe 2.24
O1 0.5000 0.5000 0.5000  12 Ge 3.16

Results
The size of the total moment comes out at 0.00 μB/atom.



Run Q
Entry from the Alexandria database: a relaxed structure of FeGe3O (PBE+U).

Lattice parameters (Å, degrees): 4.3735 4.3735 4.3735 90.00 90.00 90.00
Closest atoms and distances in Å follow each position.
Fractional positions:
Ge1 0.0000 0.5000 0.0000  2 O 2.19
Ge2 0.5000 0.0000 0.0000  2 O 2.19
Ge3 0.0000 0.0000 0.5000  2 O 2.19
Fe1 0.5000 0.5000 0.5000  12 Ge 3.09
O1 0.0000 0.0000 0.0000  6 Ge 2.19

Results
The size of the total moment comes out at 0.75 μB/atom.



Which of them is most stable, and which least? Most stable: run Q; least stable: run P.